The following is a DFT calculation (GGA-PBE) of an optimized crystal structure of NbCr.

Computed properties:
Calculated formation energy: 4.5 eV per formula unit
Magnetic moment: 9.24 μB per cell
D(E_F): 2.28 states/eV/atom

CIF file:
```
data_NbCr
_space_group_name_H-M_alt 'F -4 3 m'
_space_group_IT_number 216
_space_group_name_Hall 'F -4 2 3'
_cell_length_a 5.6450
_cell_length_b 5.6450
_cell_length_c 5.6450
_cell_angle_alpha 90.00
_cell_angle_beta 90.00
_cell_angle_gamma 90.00
loop_
_atom_site_label
_atom_site_type_symbol
_atom_site_fract_x
_atom_site_fract_y
_atom_site_fract_z
Nb1 Nb 0.0000 0.0000 0.0000
Cr1 Cr 0.2500 0.2500 0.2500
```



The following is a DFT calculation (GGA-PBE) of an optimized crystal structure of CrNi2B.

Computed properties:
Calculated formation energy: 1.4 eV per formula unit
Magnetic moment: 1.33 μB per cell
D(E_F): 0.88 states/eV/atom

CIF file:
```
data_CrNi2B
_space_group_name_H-M_alt 'R -3 m'
_space_group_IT_number 166
_space_group_name_Hall '-R 3 2"'
_cell_length_a 2.5165
_cell_length_b 2.5165
_cell_length_c 22.7920
_cell_angle_alpha 90.00
_cell_angle_beta 90.00
_cell_angle_gamma 120.00
loop_
_atom_site_label
_atom_site_type_symbol
_atom_site_fract_x
_atom_site_fract_y
_atom_site_fract_z
Cr1 Cr 0.0000 0.0000 0.0000
Ni1 Ni 0.0000 0.0000 0.1041
B1 B 0.0000 0.0000 0.5000
```